VASP calculation (GGA-PBEsol) on crystalline YZrMo2 at its relaxed geometry.

a b c (Å): 6.684 6.684 6.684
angles (deg): 90.00 90.00 90.00
Element x y z (fractional)
Y (0.000, 0.000, 0.000)
Y (0.000, 0.500, 0.500)
Y (0.500, 0.000, 0.500)
Y (0.500, 0.500, 0.000)
Zr (0.250, 0.250, 0.250)
Zr (0.250, 0.750, 0.750)
Zr (0.750, 0.250, 0.750)
Zr (0.750, 0.750, 0.250)
Mo (0.000, 0.000, 0.500)
Mo (0.000, 0.500, 0.000)
Mo (0.250, 0.250, 0.750)
Mo (0.250, 0.750, 0.250)
Mo (0.500, 0.000, 0.000)
Mo (0.500, 0.500, 0.500)
Mo (0.750, 0.250, 0.250)
Mo (0.750, 0.750, 0.750)

Summary:
**Spin magnetization**: 0.0000 μB/atom
**Energy**: -9.520 eV per atom
**N(E_F)**: 20.695 states/eV/cell

VASP calculation (GGA-PBEsol) on crystalline Zn5Mo4 at its relaxed geometry.

a b c (Å): 6.481 6.481 6.481
angles (deg): 93.70 93.70 150.57
Element x y z (fractional)
Zn (0.000, 0.000, 0.000)
Zn (0.331, 0.331, 0.662)
Zn (0.331, 0.669, 0.000)
Zn (0.669, 0.331, 0.000)
Zn (0.669, 0.669, 0.338)
Mo (0.000, 0.332, 0.332)
Mo (0.000, 0.668, 0.668)
Mo (0.332, 0.000, 0.332)
Mo (0.668, 0.000, 0.668)

Summary:
**Spin magnetization**: 0.0000 μB/atom
**Energy**: -6.053 eV per atom
**N(E_F)**: 2.508 states/eV/cell

VASP calculation (GGA-PBEsol) on crystalline Zn3Mo at its relaxed geometry.

a b c (Å): 5.327 7.960 2.674
angles (deg): 90.00 90.00 90.00
Element x y z (fractional)
Zn (0.000, 0.000, 0.000)
Zn (0.250, 0.250, 0.500)
Zn (0.250, 0.750, 0.500)
Zn (0.500, 0.500, 0.000)
Zn (0.750, 0.250, 0.500)
Zn (0.750, 0.750, 0.500)
Mo (0.000, 0.500, 0.000)
Mo (0.500, 0.000, 0.000)

Summary:
**Spin magnetization**: 0.0000 μB/atom
**Energy**: -4.089 eV per atom
**N(E_F)**: 2.075 states/eV/cell

VASP calculation (GGA-PBEsol) on crystalline Zn3Mo at its relaxed geometry.

a b c (Å): 2.640 8.829 4.848
angles (deg): 90.00 90.00 90.00
Element x y z (fractional)
Zn (0.000, 0.000, 0.000)
Zn (0.000, 0.251, 0.315)
Zn (0.000, 0.749, 0.315)
Zn (0.500, 0.249, 0.815)
Zn (0.500, 0.500, 0.500)
Zn (0.500, 0.751, 0.815)
Mo (0.000, 0.500, 0.003)
Mo (0.500, 0.000, 0.503)

Summary:
**Spin magnetization**: 0.0000 μB/atom
**Energy**: -4.087 eV per atom
**N(E_F)**: 3.132 states/eV/cell